Record 1
A plane-wave DFT calculation with PBE was carried out for Y2BiOs2 after structural relaxation.

Properties
formation energy	-0.063	eV/atom

Lattice parameters (Å, degrees): 7.2773 7.2773 4.3476 90.00 90.00 90.00
With the nearest neighbours (Å) after each atom.
Atoms (fractional coordinates):
Y: 0.6767 0.8233 0.5000  6 Os 3.06-3.07
Y: 0.3233 0.1767 0.5000  6 Os 3.06-3.07
Y: 0.1767 0.6767 0.5000  6 Os 3.06-3.07
Y: 0.8233 0.3233 0.5000  6 Os 3.06-3.07
Os: 0.6147 0.1147 0.0000  1 Os 2.36
Os: 0.1147 0.3853 0.0000  1 Os 2.36
Os: 0.8853 0.6147 0.0000  1 Os 2.36
Os: 0.3853 0.8853 0.0000  1 Os 2.36
Bi: 0.0000 0.0000 0.0000  4 Os 2.93
Bi: 0.5000 0.5000 0.0000  4 Os 2.93

=====

Record 2
A plane-wave DFT calculation with PBE was carried out for Rh2C after structural relaxation.

Properties
energy above the lowest structure with this stoichiometry	0.2618	eV/atom
formation energy	0.454	eV/atom

Lattice parameters (Å, degrees): 9.8446 10.9822 10.9822 165.56 165.81 20.89
With the nearest neighbours (Å) after each atom.
Atoms (fractional coordinates):
C: 0.3080 0.6398 0.6682  6 Rh 2.03-2.17
C: 0.6920 0.3602 0.3318  6 Rh 2.03-2.17
Rh: 0.0033 0.1884 0.8148  4 C 2.17
Rh: 0.0096 0.9400 0.0696  2 C 2.03
Rh: 0.9967 0.8116 0.1852  4 C 2.17
Rh: 0.9904 0.0600 0.9304  2 C 2.03

=====

Record 3
A plane-wave DFT calculation with PBE was carried out for HoTmPu2 after structural relaxation.

Properties
energy above the lowest structure with this stoichiometry	0.0070	eV/atom
formation energy	0.168	eV/atom

Lattice parameters (Å, degrees): 3.4140 3.4140 11.5008 81.46 81.46 60.00
With the nearest neighbours (Å) after each atom.
Atoms (fractional coordinates):
Ho: 0.5000 0.5000 0.5000  6 Ho 3.41, 6 Pu 3.46
Pu: 0.2504 0.2504 0.2489  6 Pu 3.41, 3 Tm 3.44, 3 Ho 3.46
Pu: 0.7496 0.7496 0.7511  6 Pu 3.41, 3 Tm 3.44, 3 Ho 3.46
Tm: 0.0000 0.0000 0.0000  6 Tm 3.41, 6 Pu 3.44

=====

Record 4
A plane-wave DFT calculation with PBE was carried out for Cs3Nd3MoS8 after structural relaxation.

Properties
uncorrected formation energy	-1479	meV per atom

Lattice parameters (Å, degrees): 8.1586 8.1591 9.4876 115.47 90.00 120.00
With the nearest neighbours (Å) after each atom.
Atoms (fractional coordinates):
S: 0.2704 0.5409 0.3113  3 Nd 2.82
S: 0.7935 0.0342 0.3277  1 Mo 2.54
S: 0.7593 0.9658 0.6723  1 Mo 2.54
S: 0.7296 0.4591 0.6887  3 Nd 2.82
S: 0.2407 0.0342 0.3277  1 Mo 2.54
S: 0.2065 0.9658 0.6723  1 Mo 2.54
S: 0.7935 0.5869 0.3277  1 Mo 2.54
S: 0.2065 0.4131 0.6723  1 Mo 2.54
Nd: 0.5000 0.5000 0.5000  6 S 2.82-2.87
Nd: 0.0000 0.5000 0.5000  6 S 2.82-2.86
Nd: 0.5000 0.0000 0.5000  6 S 2.82-2.87
Cs: 0.5000 0.5000 0.0000  6 S 3.48-3.51
Cs: 0.0000 0.0000 0.0000  6 S 3.48-3.51
Cs: 0.0000 0.5000 0.0000  6 S 3.48-3.51
Mo: 0.0000 0.0000 0.5000  6 S 2.54

=====

Record 5
A plane-wave DFT calculation with PBE was carried out for Nd2TmSi3Pt12 after structural relaxation.

Properties
uncorrected formation energy	-560	meV per atom

Lattice parameters (Å, degrees): 7.7141 7.7141 7.7141 65.42 65.42 65.42
With the nearest neighbours (Å) after each atom.
Atoms (fractional coordinates):
Si: 0.0000 0.0000 0.5000  6 Pt 2.36-2.37
Si: 0.5000 0.0000 0.0000  6 Pt 2.36-2.37
Si: 0.0000 0.5000 0.0000  6 Pt 2.36-2.37
Pt: 0.1433 0.1433 0.6032  1 Si 2.36
Pt: 0.1433 0.6032 0.1433  1 Si 2.36
Pt: 0.8567 0.8567 0.3968  1 Si 2.36
Pt: 0.3495 0.8996 0.3495  2 Si 2.37
Pt: 0.6505 0.6505 0.1004  2 Si 2.37
Pt: 0.6505 0.1004 0.6505  2 Si 2.37
Pt: 0.3495 0.3495 0.8996  2 Si 2.37
Pt: 0.1004 0.6505 0.6505  2 Si 2.37
Pt: 0.8567 0.3968 0.8567  1 Si 2.36
Pt: 0.8996 0.3495 0.3495  2 Si 2.37
Pt: 0.6032 0.1433 0.1433  1 Si 2.36
Pt: 0.3968 0.8567 0.8567  1 Si 2.36
Nd: 0.4000 0.4000 0.4000  6 Pt 2.90-2.91
Nd: 0.6000 0.6000 0.6000  6 Pt 2.90-2.91
Tm: 0.0000 0.0000 0.0000  6 Pt 2.68

=====

Record 6
A plane-wave DFT calculation with PBE was carried out for Cd2PRuPt after structural relaxation.

Properties
formation energy	0.578	eV/atom

Lattice parameters (Å, degrees): 4.8505 4.3019 4.8505 90.00 90.00 90.00
With the nearest neighbours (Å) after each atom.
Atoms (fractional coordinates):
Cd: 0.0000 0.0000 0.5000  2 P 2.43
Cd: 0.5000 0.0000 0.0000  2 P 2.43
P: 0.0000 0.0000 0.0000  2 Ru 2.15
Ru: 0.0000 0.5000 0.0000  2 P 2.15
Pt: 0.5000 0.5000 0.5000  8 Cd 3.24, 4 Ru 3.43

=====

Record 7
A plane-wave DFT calculation with PBE was carried out for Na3Sm2TlO6 after structural relaxation.

Properties
uncorrected formation energy	-2118	meV per atom

Lattice parameters (Å, degrees): 6.0273 6.0273 6.0048 99.56 99.56 120.00
With the nearest neighbours (Å) after each atom.
Atoms (fractional coordinates):
Sm: 0.6669 0.3331 0.0000  6 O 2.37
Sm: 0.3331 0.6669 0.0000  6 O 2.37
O: 0.4072 0.0735 0.2215  2 Sm 2.37, 1 Tl 2.37, 3 Na 2.55-2.62
O: 0.7384 0.7384 0.2217  2 Sm 2.37, 1 Tl 2.38, 3 Na 2.50-2.54
O: 0.0735 0.4072 0.2215  2 Sm 2.37, 1 Tl 2.37, 3 Na 2.55-2.62
O: 0.2616 0.2616 0.7783  2 Sm 2.37, 1 Tl 2.38, 3 Na 2.50-2.54
O: 0.9265 0.5928 0.7785  2 Sm 2.37, 1 Tl 2.37, 3 Na 2.55-2.62
O: 0.5928 0.9265 0.7785  2 Sm 2.37, 1 Tl 2.37, 3 Na 2.55-2.62
Tl: 0.0000 0.0000 0.0000  6 O 2.37-2.38
Na: 0.5000 0.5000 0.5000  6 O 2.54-2.56
Na: 0.1581 0.8419 0.5000  6 O 2.50-2.62
Na: 0.8419 0.1581 0.5000  6 O 2.50-2.62

=====

Record 8
A plane-wave DFT calculation with PBE was carried out for Er6CdNi after structural relaxation.

Properties
formation energy	0.057	eV/atom

Lattice parameters (Å, degrees): 6.8406 6.8502 7.1537 61.48 61.52 60.00
With the nearest neighbours (Å) after each atom.
Atoms (fractional coordinates):
Er: 0.4194 0.7867 0.7585  1 Ni 2.62
Er: 0.2139 0.9653 0.2414  1 Ni 2.62
Er: 0.5806 0.2133 0.2415  1 Ni 2.62
Er: 0.0354 0.4193 0.7588  1 Ni 2.62
Er: 0.7861 0.0347 0.7586  1 Ni 2.62
Er: 0.9646 0.5807 0.2412  1 Ni 2.62
Ni: 0.0000 0.0000 0.0000  6 Er 2.62
Cd: 0.5000 0.5000 0.5000  6 Er 3.00

=====

Record 9
A plane-wave DFT calculation with PBE was carried out for Dy3Er4Tm4 after structural relaxation.

Properties
energy above the lowest structure with this stoichiometry	0.0000	eV/atom
formation energy	0.065	eV/atom

Lattice parameters (Å, degrees): 3.4488 5.5295 17.8689 81.07 84.44 89.99
With the nearest neighbours (Å) after each atom.
Atoms (fractional coordinates):
Dy: 0.8631 0.3631 0.2734  2 Dy 3.45, 6 Tm 3.61-3.63, 6 Er 3.64-3.81
Dy: 0.0000 0.0000 0.0000  2 Dy 3.45, 4 Er 3.62, 8 Tm 3.63
Dy: 0.1369 0.6370 0.7266  2 Dy 3.45, 6 Tm 3.61-3.63, 6 Er 3.64-3.81
Tm: 0.6812 0.1810 0.6384  5 Er 3.17-3.47, 2 Tm 3.45
Tm: 0.3188 0.8191 0.3616  5 Er 3.17-3.47, 2 Tm 3.45
Tm: 0.4537 0.4539 0.0914  2 Er 3.18, 3 Tm 3.21-3.45
Tm: 0.5463 0.5461 0.9086  2 Er 3.18, 3 Tm 3.21-3.45
Er: 0.4096 0.9089 0.1812  3 Tm 3.17-3.18, 2 Er 3.45
Er: 0.5904 0.0912 0.8188  3 Tm 3.17-3.18, 2 Er 3.45
Er: 0.2668 0.2666 0.4668  4 Tm 3.32-3.47, 6 Er 3.45-3.46
Er: 0.7332 0.7334 0.5333  4 Tm 3.32-3.47, 6 Er 3.45-3.46

=====

Record 10
A plane-wave DFT calculation with PBE was carried out for Sm4Co3B6 after structural relaxation.

Properties
formation energy	-0.331	eV/atom

Lattice parameters (Å, degrees): 8.1090 8.1090 8.1090 38.47 38.47 38.47
With the nearest neighbours (Å) after each atom.
Atoms (fractional coordinates):
Sm: 0.2560 0.2560 0.2560  6 B 2.69
Sm: 0.7440 0.7440 0.7440  6 B 2.69
Sm: 0.5897 0.5897 0.5897  6 B 2.69
Sm: 0.4103 0.4103 0.4103  6 B 2.69
Co: 0.8859 0.8859 0.8859  6 B 2.14
Co: 0.1141 0.1141 0.1141  6 B 2.14
Co: 0.0000 0.0000 0.0000  2 Co 2.57
B: 0.8324 0.5000 0.1676  3 B 1.78-1.79
B: 0.5000 0.8324 0.1676  3 B 1.78-1.79
B: 0.8324 0.1676 0.5000  3 B 1.78-1.79
B: 0.1676 0.8324 0.5000  3 B 1.78-1.79
B: 0.1676 0.5000 0.8324  3 B 1.78-1.79
B: 0.5000 0.1676 0.8324  3 B 1.78-1.79

=====

Record 11
A plane-wave DFT calculation with PBE was carried out for Rb2LiPa2S6 after structural relaxation.

Properties
uncorrected formation energy	-1544	meV per atom

Lattice parameters (Å, degrees): 7.0388 7.0388 8.0920 97.42 97.42 120.97
With the nearest neighbours (Å) after each atom.
Atoms (fractional coordinates):
S: 0.4125 0.0535 0.6868  2 Pa 2.69, 1 Li 2.91
S: 0.5875 0.9465 0.3132  2 Pa 2.69, 1 Li 2.91
S: 0.9465 0.5875 0.3132  2 Pa 2.69, 1 Li 2.91
S: 0.7140 0.7140 0.6804  2 Pa 2.70, 1 Li 2.75
S: 0.2860 0.2860 0.3196  2 Pa 2.70, 1 Li 2.75
S: 0.0535 0.4125 0.6868  2 Pa 2.69, 1 Li 2.91
Li: 0.0000 0.0000 0.5000  6 S 2.75-2.91
Pa: 0.6648 0.3352 0.5000  6 S 2.69-2.70
Pa: 0.3352 0.6648 0.5000  6 S 2.69-2.70
Rb: 0.1572 0.8428 0.0000  6 S 3.36-3.41
Rb: 0.8428 0.1572 0.0000  6 S 3.36-3.41

=====

Record 12
A plane-wave DFT calculation with PBE was carried out for Co4NiSb12 after structural relaxation.

Properties
uncorrected formation energy	-38	meV per atom

Lattice parameters (Å, degrees): 7.8975 7.8975 7.8975 109.47 109.47 109.47
With the nearest neighbours (Å) after each atom.
Atoms (fractional coordinates):
Sb: 0.5173 0.6754 0.8420  2 Co 2.52
Sb: 0.8334 0.6754 0.1580  2 Co 2.52
Sb: 0.6754 0.8420 0.5173  2 Co 2.52
Sb: 0.1580 0.4827 0.3246  2 Co 2.52
Sb: 0.8420 0.1666 0.3246  2 Co 2.52
Sb: 0.8420 0.5173 0.6754  2 Co 2.52
Sb: 0.3246 0.1580 0.4827  2 Co 2.52
Sb: 0.1580 0.8334 0.6754  2 Co 2.52
Sb: 0.1666 0.3246 0.8420  2 Co 2.52
Sb: 0.6754 0.1580 0.8334  2 Co 2.52
Sb: 0.3246 0.8420 0.1666  2 Co 2.52
Sb: 0.4827 0.3246 0.1580  2 Co 2.52
Co: 0.5000 0.0000 0.0000  6 Sb 2.52
Co: 0.0000 0.0000 0.5000  6 Sb 2.52
Co: 0.0000 0.5000 0.0000  6 Sb 2.52
Co: 0.5000 0.5000 0.5000  6 Sb 2.52
Ni: 0.0000 0.0000 0.0000  12 Sb 3.29